[1]
A plane-wave DFT calculation with PBEsol was carried out for a relaxed structure of GaRuSN2.

Summary:
Formation energy from raw total energies = 7.6 eV per formula unit
DFT total energy = -5.4696 eV per atom
Space-group type = No. 123
Size of the total moment = 0.63 μB/atom

Lattice parameters (Å, degrees): 3.6814 3.6814 4.9592 90.00 90.00 90.00
Last column: magnetic moment on the atom in μB.
Positions (direct):
Ru (0.5000, 0.5000, 0.5000)  1.61
S (0.0000, 0.0000, 0.5000)  0.13
N (0.0000, 0.5000, 0.0000)  0.47
N (0.5000, 0.0000, 0.0000)  0.47
Ga (0.0000, 0.0000, 0.0000)  0.03



[2]
A plane-wave DFT calculation with PBEsol was carried out for a relaxed structure of GaTe2RuN.

Summary:
Formation energy from raw total energies = 1.0 eV per formula unit
DFT total energy = -5.6091 eV per atom
Space-group type = No. 123
Size of the total moment = 0.00 μB/atom

Lattice parameters (Å, degrees): 3.5905 5.4484 5.4484 90.00 90.00 90.00
Positions (direct):
Te (0.0000, 0.0000, 0.5000)
N (0.5000, 0.0000, 0.0000)
Ga (0.5000, 0.5000, 0.5000)
Ru (0.0000, 0.0000, 0.0000)
Te (0.0000, 0.5000, 0.0000)



[3]
A plane-wave DFT calculation with PBEsol was carried out for a relaxed structure of GaS2N2.

Summary:
Formation energy from raw total energies = 6.9 eV per formula unit
DFT total energy = -4.4593 eV per atom
Space-group type = No. 123
Size of the total moment = 0.00 μB/atom

Lattice parameters (Å, degrees): 3.7802 3.9435 3.9435 90.00 90.00 90.00
Positions (direct):
Ga (0.5000, 0.5000, 0.5000)
S (0.0000, 0.5000, 0.0000)
N (0.5000, 0.0000, 0.0000)
S (0.0000, 0.0000, 0.5000)
N (0.0000, 0.0000, 0.0000)



[4]
A plane-wave DFT calculation with PBEsol was carried out for a relaxed structure of GaSnSN2.

Summary:
Formation energy from raw total energies = 5.4 eV per formula unit
DFT total energy = -4.7211 eV per atom
Space-group type = No. 123
Size of the total moment = 0.46 μB/atom

Lattice parameters (Å, degrees): 4.0703 4.0703 5.2843 90.00 90.00 90.00
Last column: magnetic moment on the atom in μB.
Positions (direct):
Sn (0.0000, 0.0000, 0.0000)  -0.04
S (0.0000, 0.0000, 0.5000)  0.11
N (0.0000, 0.5000, 0.0000)  0.78
N (0.5000, 0.0000, 0.0000)  0.78
Ga (0.5000, 0.5000, 0.5000)  0.00



[5]
A plane-wave DFT calculation with PBEsol was carried out for a relaxed structure of TaGaS2N.

Summary:
Formation energy from raw total energies = 3.5 eV per formula unit
DFT total energy = -5.9418 eV per atom
Space-group type = No. 123
Size of the total moment = 0.03 μB/atom

Lattice parameters (Å, degrees): 3.5217 4.6789 4.6789 90.00 90.00 90.00
Last column: magnetic moment on the atom in μB.
Positions (direct):
Ta (0.5000, 0.5000, 0.5000)  -0.68
N (0.5000, 0.0000, 0.0000)  0.45
Ga (0.0000, 0.0000, 0.0000)  -0.01
S (0.0000, 0.0000, 0.5000)  0.09
S (0.0000, 0.5000, 0.0000)  0.09



[6]
A plane-wave DFT calculation with PBEsol was carried out for a relaxed structure of GaSbSe2N.

Summary:
Formation energy from raw total energies = 3.3 eV per formula unit
DFT total energy = -4.1706 eV per atom
Space-group type = No. 123
Size of the total moment = 0.12 μB/atom

Lattice parameters (Å, degrees): 3.9555 5.2983 5.2983 90.00 90.00 90.00
Last column: magnetic moment on the atom in μB.
Positions (direct):
N (0.5000, 0.0000, 0.0000)  0.25
Sb (0.0000, 0.0000, 0.0000)  -0.02
Se (0.0000, 0.5000, 0.0000)  0.09
Se (0.0000, 0.0000, 0.5000)  0.09
Ga (0.5000, 0.5000, 0.5000)  0.01